## NbZnCl3 (PBE)

Data for crystalline NbZnCl3 at its relaxed geometry.

Cell: 4.853 4.853 4.853 Å, 90.00 90.00 90.00°
Sites, in units of the cell vectors:
Nb: 0.000 0.000 0.000
Zn: 0.500 0.500 0.500
Cl: 0.000 0.500 0.500
Cl: 0.500 0.000 0.500
Cl: 0.500 0.500 0.000

Computed properties:
Raw formation energy, meV/atom: 70
Total magnetic moment, μB per formula unit: 3.86
Relative energy among the computed polymorphs, meV per atom: 580

---

## BiSe6Br12 (PBE)

Data for crystalline BiSe6Br12 at its relaxed geometry.

Cell: 9.366 9.366 9.366 Å, 72.59 72.59 72.59°
Sites, in units of the cell vectors:
Bi: 0.000 0.000 0.000
Se: 0.235 0.502 0.319
Se: 0.319 0.235 0.502
Se: 0.498 0.681 0.765
Se: 0.502 0.319 0.235
Se: 0.681 0.765 0.498
Se: 0.765 0.498 0.681
Br: 0.023 0.436 0.283
Br: 0.144 0.837 0.257
Br: 0.163 0.743 0.856
Br: 0.257 0.144 0.837
Br: 0.283 0.023 0.436
Br: 0.436 0.283 0.023
Br: 0.564 0.717 0.977
Br: 0.717 0.977 0.564
Br: 0.743 0.856 0.163
Br: 0.837 0.257 0.144
Br: 0.856 0.163 0.743
Br: 0.977 0.564 0.717

Computed properties:
Raw formation energy, meV/atom: -97
Total magnetic moment, μB per formula unit: 0.00

---

The lowest total magnetic moment belongs to which entry?
BiSe6Br12

---

Number 1 is which compound?
NbZnCl3

---

Number 1 is which compound?
NbZnCl3

---

Among the records above, which one has the lowest raw formation energy?
BiSe6Br12